# 1
MgCo2Pb | GGA-PBE | relaxed

Results
E_form = 439 meV per atom

Cell lengths 6.3583, 6.3583, 6.3583 Å; angles 90.00, 90.00, 90.00 degrees
Last column: nearest neighbours and their distance in Å.
Space group F-43m (No. 216)
Asymmetric unit:
1 Mg 0.0000 0.0000 0.0000  4 Pb 2.75, 4 Co 2.75
2 Co 0.0000 0.0000 0.5000  4 Pb 2.75, 4 Co 2.75
3 Co 0.2500 0.2500 0.7500  4 Co 2.75, 4 Mg 2.75
4 Pb 0.2500 0.2500 0.2500  4 Co 2.75, 4 Mg 2.75

# 2
Na2PaPtS4 | GGA-PBE | relaxed

Results
E_form (uncorrected) = -0.966 eV per atom

Cell lengths 6.9777, 6.9777, 6.4667 Å; angles 90.00, 90.00, 90.00 degrees
Last column: nearest neighbours and their distance in Å.
Space group I-42m (No. 121)
Asymmetric unit:
1 Na 0.0000 0.5000 0.0000  8 S 2.92-3.08, 2 Na 3.23
2 Pa 0.0000 0.0000 0.0000  4 S 2.62
3 Pt 0.0000 0.0000 0.5000  4 S 2.43
4 S 0.1961 0.1961 0.2720  1 Pt 2.43, 1 Pa 2.62

# 3
Zr4TlAu | GGA-PBE | relaxed

Results
E above lowest polymorph = 403 meV/atom
E_form = 206 meV per atom

Cell lengths 8.1282, 8.1282, 8.1282 Å; angles 90.00, 90.00, 90.00 degrees
Last column: nearest neighbours and their distance in Å.
Space group F-43m (No. 216)
Asymmetric unit:
1 Zr 0.1251 0.1251 0.1251  6 Zr 2.87-2.88
2 Tl 0.0000 0.0000 0.5000  12 Zr 3.37, 4 Au 3.52
3 Au 0.2500 0.2500 0.7500  12 Zr 3.37, 4 Tl 3.52

# 4
RbTcTeI2 | GGA-PBE | relaxed

Results
E above lowest polymorph = 1400 meV/atom
E_form (uncorrected) = 1.170 eV per atom

Cell lengths 6.4870, 6.4870, 6.4336 Å; angles 90.00, 90.00, 90.00 degrees
Last column: nearest neighbours and their distance in Å.
Space group P4/mmm (No. 123)
Asymmetric unit:
1 Rb 0.0000 0.0000 0.0000  2 Te 3.22, 4 I 3.24
2 Tc 0.5000 0.5000 0.5000  8 I 4.57, 4 Te 4.59
3 Te 0.0000 0.0000 0.5000  2 Rb 3.22
4 I 0.0000 0.5000 0.0000  2 Rb 3.24

# 5
Tb6BiP3S2 | GGA-PBE | relaxed

Results
E_form (uncorrected) = -1.621 eV per atom

Cell lengths 17.8111, 4.0656, 8.2119 Å; angles 90.00, 103.78, 90.00 degrees
Last column: nearest neighbours and their distance in Å.
Space group C2/m (No. 12)
Asymmetric unit:
1 Tb 0.0004 0.0000 0.2273  3 P 2.76-2.86, 1 S 2.95, 2 Bi 3.03
2 Tb 0.1655 0.5000 0.0891  3 P 2.84-2.86, 3 S 2.85-2.91
3 Tb 0.1756 0.5000 0.5819  3 P 2.75-2.87, 2 S 2.94, 1 Bi 3.04
4 Bi 0.0000 0.5000 0.5000  6 Tb 3.03-3.04
5 P 0.0000 0.5000 0.0000  6 Tb 2.76-2.86
6 P 0.1653 0.0000 0.3305  6 Tb 2.75-2.87
7 S 0.1697 0.0000 0.8379  6 Tb 2.85-2.95

# 6
Al2AsPS | GGA-PBE | relaxed

Results
E_form (uncorrected) = 0.368 eV per atom

Cell lengths 4.7578, 4.7578, 4.3758 Å; angles 90.00, 90.00, 90.00 degrees
Last column: nearest neighbours and their distance in Å.
Space group P4/mmm (No. 123)
Asymmetric unit:
1 Al 0.0000 0.5000 0.0000  2 P 2.38
2 As 0.0000 0.0000 0.5000  8 Al 3.23, 4 S 3.36
3 P 0.5000 0.5000 0.0000  2 S 2.19, 4 Al 2.38
4 S 0.5000 0.5000 0.5000  2 P 2.19

# 7
Nd4SiPtI2 | GGA-PBE | relaxed

Results
E_form (uncorrected) = -0.982 eV per atom

Cell lengths 7.7463, 4.2222, 8.1008 Å; angles 90.00, 106.97, 90.00 degrees
Last column: nearest neighbours and their distance in Å.
Space group P2/m (No. 10)
Asymmetric unit:
1 Nd 0.2210 0.0000 0.1879  2 Pt 2.86, 1 Si 2.99
2 Nd 0.2682 0.5000 0.8008  2 Si 2.93, 1 Pt 2.98
3 Si 0.5000 0.0000 0.0000  6 Nd 2.93-2.99
4 Pt 0.0000 0.5000 0.0000  6 Nd 2.86-2.98
5 I 0.0000 0.0000 0.5000  6 Nd 3.43-3.44
6 I 0.5000 0.5000 0.5000  6 Nd 3.42-3.51

# 8
AcSO4 | GGA-PBE | relaxed

Results
E above lowest polymorph = 58 meV/atom
E_form (uncorrected) = -1.953 eV per atom

Cell lengths 7.0157, 7.9988, 9.3883 Å; angles 90.00, 131.34, 90.00 degrees
Last column: nearest neighbours and their distance in Å.
Space group P2_1/c (No. 14)
Asymmetric unit:
1 Ac 0.0870 0.0805 0.3121  4 O 2.48-2.67
2 S 0.4007 0.7244 0.6999  4 O 1.48-1.51
3 O 0.2370 0.6232 0.1426  1 S 1.51
4 O 0.2644 0.6092 0.5353  1 S 1.48
5 O 0.3491 0.2279 0.2344  1 S 1.48
6 O 0.4420 0.6374 0.8605  1 S 1.50

# 9
SrLiSnIr | GGA-PBE | relaxed

Results
E above lowest polymorph = 205 meV/atom
E_form = -233 meV per atom

Cell lengths 6.9429, 6.9429, 6.9429 Å; angles 90.00, 90.00, 90.00 degrees
Last column: nearest neighbours and their distance in Å.
Space group F-43m (No. 216)
Asymmetric unit:
1 Sr 0.0000 0.0000 0.0000  4 Li 3.01, 4 Ir 3.01
2 Li 0.2500 0.2500 0.7500  4 Sn 3.01, 4 Sr 3.01
3 Sn 0.0000 0.0000 0.5000  4 Ir 3.01, 4 Li 3.01
4 Ir 0.2500 0.2500 0.2500  4 Sn 3.01, 4 Sr 3.01